Density functional theory data (PBE) for crystalline MgAl2Tc2 at its relaxed geometry.

Cell: 6.912 6.912 3.316 Å, 90.00 90.00 90.00°
Atoms (fractional coordinates):
Mg: 0.000 0.000 0.000
Mg: 0.500 0.500 0.000
Tc: 0.351 0.851 0.000
Tc: 0.851 0.649 0.000
Tc: 0.649 0.149 0.000
Tc: 0.149 0.351 0.000
Al: 0.145 0.645 0.500
Al: 0.645 0.855 0.500
Al: 0.855 0.355 0.500
Al: 0.355 0.145 0.500

Summary:
formation energy: -0.33 eV per formula unit
calculated volume: 79.21 Å³/f.u.
distance to the lowest polymorph of the same formula: 0 meV/atom